Density functional theory data (SCAN) for a crystal of PdSeF2 relaxed with PBEsol.

Properties
DFT total energy in eV per atom: -15.606
Excess energy over the best structure of this formula in the dataset in eV/atom: 0.000

The structure in POSCAR format:
```
PdSeF2
1.0
1.419 0.819 7.949
-1.419 0.819 7.949
0.000 -1.638 7.949
Pd Se F
1 1 2
Cartesian
0.000 0.000 0.000
0.000 0.000 11.924
0.000 0.000 9.995
0.000 0.000 13.853
```